# SrCdNO2

Crystalline SrCdNO2 at its relaxed geometry (GGA-PBE, Alexandria via LeMat-Bulk).

Lattice parameters (Å, degrees): 4.338 4.338 4.165 90.00 90.00 90.00
Element x y z (fractional)
Sr (0.500, 0.500, 0.500)
N (0.000, 0.000, 0.500)
O (0.000, 0.500, 0.000)
O (0.500, 0.000, 0.000)
Cd (0.000, 0.000, 0.000)

Output
ρ: 5.21 Mg/m³
crystal system: tetragonal
formation energy from raw total energies: -0.358 eV/atom